# 1
# KBa2Re, relaxed, DFT PBE
data_KBa2Re
_chemical_formula_sum 'K1 Ba2 Re1'
_space_group_name_H-M_alt 'P 4 m m'
_space_group_IT_number 99
_cell_length_a 4.490
_cell_length_b 4.490
_cell_length_c 9.605
_cell_angle_alpha 90.00
_cell_angle_beta 90.00
_cell_angle_gamma 90.00
loop_
_space_group_symop_operation_xyz
'x,y,z'
'-y,x,z'
'-x,-y,z'
'y,-x,z'
'-x,y,z'
'y,x,z'
'x,-y,z'
'-y,-x,z'
loop_
_atom_site_label
_atom_site_type_symbol
_atom_site_fract_x
_atom_site_fract_y
_atom_site_fract_z
_atom_site_occupancy
K1 K 0.000 0.000 0.000 1
Ba1 Ba 0.000 0.000 0.371 1
Ba2 Ba 0.500 0.500 0.640 1
Re1 Re 0.500 0.500 0.312 1
# uncorrected energy	-3.217	eV per atom
# E above lowest polymorph	111	kJ/mol of formula units
# size of the total moment	0.58	μB per atom

***

# 2
# BaSc2Ru, relaxed, DFT PBE
data_BaSc2Ru
_chemical_formula_sum 'Ba4 Sc8 Ru4'
_space_group_name_H-M_alt 'F -4 3 m'
_space_group_IT_number 216
_space_group_name_Hall 'F -4 2 3'
_cell_length_a 7.242
_cell_length_b 7.242
_cell_length_c 7.242
_cell_angle_alpha 90.00
_cell_angle_beta 90.00
_cell_angle_gamma 90.00
loop_
_atom_site_label
_atom_site_type_symbol
_atom_site_fract_x
_atom_site_fract_y
_atom_site_fract_z
_atom_site_occupancy
Ba1 Ba 0.000 0.000 0.000 1
Sc1 Sc 0.000 0.000 0.500 1
Sc2 Sc 0.250 0.250 0.250 1
Ru1 Ru 0.250 0.250 0.750 1
# uncorrected energy	-5.500	eV per atom
# E above lowest polymorph	245	kJ/mol of formula units
# size of the total moment	0.00	μB per atom

***

# 3
# KH7Pt2, relaxed, DFT PBE
data_KH7Pt2
_chemical_formula_sum 'K2 H14 Pt4'
_space_group_name_H-M_alt 'C m m m'
_space_group_IT_number 65
_space_group_name_Hall '-C 2 2'
_cell_length_a 5.311
_cell_length_b 9.895
_cell_length_c 3.648
_cell_angle_alpha 90.00
_cell_angle_beta 90.00
_cell_angle_gamma 90.00
loop_
_atom_site_label
_atom_site_type_symbol
_atom_site_fract_x
_atom_site_fract_y
_atom_site_fract_z
_atom_site_occupancy
K1 K 0.000 0.000 0.000 1
H1 H 0.000 0.324 0.000 1
H2 H 0.000 0.500 0.500 1
H3 H 0.182 0.157 0.500 1
Pt1 Pt 0.000 0.317 0.500 1
# uncorrected energy	-3.825	eV per atom
# size of the total moment	0.00	μB per atom

***

# 4
# ZrWBr2, relaxed, DFT PBE
data_ZrWBr2
_chemical_formula_sum 'Zr2 W2 Br4'
_space_group_name_H-M_alt 'C m m 2'
_space_group_IT_number 35
_cell_length_a 3.536
_cell_length_b 5.432
_cell_length_c 10.073
_cell_angle_alpha 90.00
_cell_angle_beta 90.00
_cell_angle_gamma 90.00
loop_
_space_group_symop_operation_xyz
'x,y,z'
'-x,-y,z'
'-x,y,z'
'x,-y,z'
'x+1/2,y+1/2,z'
'-x+1/2,-y+1/2,z'
'-x+1/2,y+1/2,z'
'x+1/2,-y+1/2,z'
loop_
_atom_site_label
_atom_site_type_symbol
_atom_site_fract_x
_atom_site_fract_y
_atom_site_fract_z
_atom_site_occupancy
Zr1 Zr 0.000 0.000 0.000 1
W1 W 0.000 0.500 0.787 1
Br1 Br 0.000 0.000 0.584 1
Br2 Br 0.000 0.500 0.210 1
# uncorrected energy	-6.196	eV per atom
# E_form (uncorrected)	0.016	eV/atom
# E above lowest polymorph	32	kJ/mol of formula units
# size of the total moment	0.00	μB per atom

***

# 5
# Sr2LiSb4Rh3, relaxed, DFT PBE
data_Sr2LiSb4Rh3
_chemical_formula_sum 'Sr2 Li1 Sb4 Rh3'
_space_group_name_H-M_alt 'P -4 m 2'
_space_group_IT_number 115
_cell_length_a 4.631
_cell_length_b 4.631
_cell_length_c 10.728
_cell_angle_alpha 90.00
_cell_angle_beta 90.00
_cell_angle_gamma 90.00
loop_
_space_group_symop_operation_xyz
'x,y,z'
'y,-x,-z'
'-x,-y,z'
'-y,x,-z'
'-x,y,z'
'-y,-x,-z'
'x,-y,z'
'y,x,-z'
loop_
_atom_site_label
_atom_site_type_symbol
_atom_site_fract_x
_atom_site_fract_y
_atom_site_fract_z
_atom_site_occupancy
Sr1 Sr 0.000 0.500 0.246 1
Li1 Li 0.500 0.500 0.000 1
Sb1 Sb 0.000 0.000 0.500 1
Sb2 Sb 0.000 0.500 0.869 1
Sb3 Sb 0.500 0.500 0.500 1
Rh1 Rh 0.000 0.000 0.000 1
Rh2 Rh 0.000 0.500 0.621 1
# uncorrected energy	-5.089	eV per atom
# E_form (uncorrected)	-0.707	eV/atom
# size of the total moment	0.00	μB per atom

***

# 6
# SiOsCl, relaxed, DFT PBE
data_SiOsCl
_chemical_formula_sum 'Si1 Os1 Cl1'
_space_group_name_H-M_alt 'P 3 m 1'
_space_group_IT_number 156
_cell_length_a 3.0663
_cell_length_b 3.0663
_cell_length_c 6.4663
_cell_angle_alpha 90.00
_cell_angle_beta 90.00
_cell_angle_gamma 120.00
loop_
_space_group_symop_operation_xyz
'x,y,z'
'-y,x-y,z'
'-x+y,-x,z'
'-y,-x,z'
'-x+y,y,z'
'x,x-y,z'
loop_
_atom_site_label
_atom_site_type_symbol
_atom_site_fract_x
_atom_site_fract_y
_atom_site_fract_z
_atom_site_occupancy
Si1 Si 0.0000 0.0000 0.0000 1
Os1 Os 0.6667 0.3333 0.7698 1
Cl1 Cl 0.3333 0.6667 0.2770 1
# uncorrected energy	-5.917	eV per atom
# E_form (uncorrected)	0.249	eV/atom
# E above lowest polymorph	0	kJ/mol of formula units
# size of the total moment	0.00	μB per atom

***

# 7
# LiCdAg3, relaxed, DFT PBE
data_LiCdAg3
_chemical_formula_sum 'Li1 Cd1 Ag3'
_space_group_name_H-M_alt 'P m -3 m'
_space_group_IT_number 221
_space_group_name_Hall '-P 4 2 3'
_cell_length_a 4.567
_cell_length_b 4.567
_cell_length_c 4.567
_cell_angle_alpha 90.00
_cell_angle_beta 90.00
_cell_angle_gamma 90.00
loop_
_atom_site_label
_atom_site_type_symbol
_atom_site_fract_x
_atom_site_fract_y
_atom_site_fract_z
_atom_site_occupancy
Li1 Li 0.000 0.000 0.000 1
Cd1 Cd 0.500 0.500 0.500 1
Ag1 Ag 0.000 0.000 0.500 1
# uncorrected energy	-1.976	eV per atom
# E above lowest polymorph	213	kJ/mol of formula units
# size of the total moment	0.00	μB per atom

***

# 8
# Cd6HgPd12, relaxed, DFT PBE
data_Cd6HgPd12
_chemical_formula_sum 'Cd18 Hg3 Pd36'
_space_group_name_H-M_alt 'R -3 m'
_space_group_IT_number 166
_space_group_name_Hall '-R 3 2"'
_cell_length_a 11.1568
_cell_length_b 11.1568
_cell_length_c 9.3900
_cell_angle_alpha 90.00
_cell_angle_beta 90.00
_cell_angle_gamma 120.00
loop_
_atom_site_label
_atom_site_type_symbol
_atom_site_fract_x
_atom_site_fract_y
_atom_site_fract_z
_atom_site_occupancy
Cd1 Cd 0.0893 0.1786 0.2415 1
Hg1 Hg 0.0000 0.0000 0.5000 1
Pd1 Pd 0.0000 0.2588 0.5000 1
Pd2 Pd 0.0656 0.5328 0.6202 1
# uncorrected energy	-3.741	eV per atom
# size of the total moment	0.00	μB per atom

***

size of the total moment of number 4 (ZrWBr2)?
0.00 μB per atom

***

What is the size of the total moment in the eighth record?
0.00 μB per atom